No. 1
Below is a relaxed structure of UZnS4, with properties calculated at the PBE level.

Structure (CIF):
```
data_UZnS4
_chemical_formula_sum 'U1 Zn1 S4'
_symmetry_space_group_name_H-M 'P 1 2/m 1'
_symmetry_Int_Tables_number 10
_symmetry_space_group_name_Hall '-P 2y'
_cell_length_a 5.956
_cell_length_b 3.967
_cell_length_c 6.457
_cell_angle_alpha 90.00
_cell_angle_beta 91.52
_cell_angle_gamma 90.00
loop_
_atom_site_label
_atom_site_fract_x
_atom_site_fract_y
_atom_site_fract_z
U1 0.000 0.000 0.000
Zn1 0.500 0.500 0.000
S1 0.158 0.500 0.222
S2 0.333 0.000 0.780
```

No. 2
Below is a relaxed structure of ZrTi12N6, with properties calculated at the PBE level.

Structure (CIF):
```
data_ZrTi12N6
_chemical_formula_sum 'Zr3 Ti36 N18'
_symmetry_space_group_name_H-M 'R -3 m'
_symmetry_Int_Tables_number 166
_symmetry_space_group_name_Hall '-R 3 2"'
_cell_length_a 10.1336
_cell_length_b 10.1336
_cell_length_c 8.0122
_cell_angle_alpha 90.00
_cell_angle_beta 90.00
_cell_angle_gamma 120.00
loop_
_atom_site_label
_atom_site_fract_x
_atom_site_fract_y
_atom_site_fract_z
Zr1 0.0000 0.0000 0.0000
Ti1 0.0000 0.3714 0.5000
Ti2 0.0872 0.1745 0.3606
N1 0.0376 0.5188 0.2795
```

No. 3
Below is a relaxed structure of Nd2GaSe, with properties calculated at the PBE level.

Structure (CIF):
```
data_Nd2GaSe
_chemical_formula_sum 'Nd6 Ga3 Se3'
_symmetry_space_group_name_H-M 'R -3 m'
_symmetry_Int_Tables_number 166
_symmetry_space_group_name_Hall '-R 3 2"'
_cell_length_a 4.1304
_cell_length_b 4.1304
_cell_length_c 22.5284
_cell_angle_alpha 90.00
_cell_angle_beta 90.00
_cell_angle_gamma 120.00
loop_
_atom_site_label
_atom_site_fract_x
_atom_site_fract_y
_atom_site_fract_z
Nd1 0.0000 0.0000 0.2479
Ga1 0.0000 0.0000 0.0000
Se1 0.0000 0.0000 0.5000
```

Results
ΔE to the lowest computed polymorph: 6.0 kJ/mol of atoms

no.,formation energy from raw total energies (meV/atom)
1,-835.2
2,-652.3
3,-1184.9